The following is a GGA-PBE calculation of Rb2BOsO6 after structural relaxation, from Alexandria via LeMat-Bulk.

Properties
E_form (uncorrected) (eV/atom): -1.3567
Total moment (Bohr magnetons per cell): 1.02
N(E_F) (states/eV/f.u.): 4.5
Space group: Fmmm

Cell and atoms, written as extended XYZ:
```
10
Lattice="0.000 4.802 4.820 3.322 0.000 4.820 3.322 4.802 0.000" Properties=species:S:1:pos:R:3 pbc="T T T"
Rb 1.661 2.401 2.410
Rb 4.983 7.203 7.230
B 0.000 0.000 0.000
Os 3.322 4.802 4.820
O 5.381 4.802 4.820
O 3.322 2.948 4.820
O 3.322 4.802 2.965
O 3.322 4.802 6.675
O 3.322 6.656 4.820
O 1.263 4.802 4.820
```